Material: RbCd3Pd
Method: DFT, GGA-PBE
State: relaxed

* energy above the most stable polymorph in this dataset: 9.37 kJ/mol of atoms
* space-group type: P2/m, No. 10
* DFT total energy: -1.88 eV/atom
* ΔE_f: -0.096 eV/atom

abc: 5.4601 4.1302 6.8763
angles: 90.00 108.62 90.00
Fractional positions:
Rb1 0.0000 0.0000 0.0000
Cd1 0.0000 0.0000 0.5000
Cd2 0.4247 0.5000 0.7455
Cd3 0.5753 0.5000 0.2545
Pd1 0.5000 0.0000 0.5000

Material: NiMoS2
Method: DFT, GGA-PBE
State: relaxed

* energy above the most stable polymorph in this dataset: 0.00 kJ/mol of atoms
* space-group type: R-3m, No. 166
* DFT total energy: -6.53 eV/atom

abc: 7.6911 7.6911 7.6911
angles: 23.54 23.54 23.54
Fractional positions:
Ni1 0.0000 0.0000 0.0000
Mo1 0.5000 0.5000 0.5000
S1 0.0942 0.0942 0.0942
S2 0.9058 0.9058 0.9058

Material: SmAs2O2
Method: DFT, GGA-PBE
State: relaxed

* space-group type: I4_1/amd, No. 141
* DFT total energy: -5.81 eV/atom

abc: 10.8261 10.8261 10.8261
angles: 123.15 123.15 84.63
Fractional positions:
Sm1 0.0000 0.0000 0.0000
Sm2 0.0000 0.0000 0.5000
Sm3 0.0000 0.5000 0.0000
Sm4 0.5000 0.0000 0.5000
As1 0.0816 0.1857 0.8959
As2 0.1857 0.0816 0.3959
As3 0.1857 0.7899 0.1041
As4 0.2101 0.8143 0.3959
As5 0.7899 0.1857 0.6041
As6 0.8143 0.2101 0.8959
As7 0.8143 0.9184 0.6041
As8 0.9184 0.8143 0.1041
O1 0.1360 0.1851 0.5491
O2 0.1360 0.5868 0.9509
O3 0.1851 0.1360 0.0491
O4 0.4132 0.8640 0.5491
O5 0.5868 0.1360 0.4509
O6 0.8149 0.8640 0.9509
O7 0.8640 0.4132 0.0491
O8 0.8640 0.8149 0.4509

Material: CaZn2HgPd
Method: DFT, GGA-PBE
State: relaxed

* space-group type: P4/mmm, No. 123
* DFT total energy: -2.20 eV/atom
* ΔE_f: -0.190 eV/atom

abc: 4.8254 4.8254 5.2460
angles: 90.00 90.00 90.00
Fractional positions:
Ca1 0.0000 0.0000 0.0000
Zn1 0.0000 0.5000 0.5000
Zn2 0.5000 0.0000 0.5000
Hg1 0.5000 0.5000 0.0000
Pd1 0.5000 0.5000 0.5000

Material: LaZn2Re
Method: DFT, GGA-PBE
State: relaxed

* energy above the most stable polymorph in this dataset: 6.84 kJ/mol of atoms
* space-group type: P4/mmm, No. 123
* DFT total energy: -4.70 eV/atom
* ΔE_f: 0.281 eV/atom

abc: 3.0420 3.0420 8.0671
angles: 90.00 90.00 90.00
Fractional positions:
La1 0.0000 0.0000 0.0000
Zn1 0.5000 0.5000 0.2983
Zn2 0.5000 0.5000 0.7017
Re1 0.0000 0.0000 0.5000

Material: RhAuSe2N
Method: DFT, GGA-PBE
State: relaxed

* energy above the most stable polymorph in this dataset: 74.76 kJ/mol of atoms
* space-group type: P4/mmm, No. 123
* DFT total energy: -3.82 eV/atom

abc: 5.2200 5.2200 3.6905
angles: 90.00 90.00 90.00
Fractional positions:
Rh1 0.0000 0.0000 0.0000
Au1 0.5000 0.5000 0.5000
Se1 0.0000 0.5000 0.5000
Se2 0.5000 0.0000 0.5000
N1 0.5000 0.5000 0.0000

Material: PrDy2Pu
Method: DFT, GGA-PBE
State: relaxed

* energy above the most stable polymorph in this dataset: 0.79 kJ/mol of atoms
* space-group type: R3m, No. 160
* DFT total energy: -6.97 eV/atom
* ΔE_f: 0.113 eV/atom

abc: 11.7254 11.7254 11.7254
angles: 17.47 17.47 17.47
Fractional positions:
Pr1 0.0000 0.0000 0.0000
Dy1 0.2476 0.2476 0.2476
Dy2 0.4203 0.4203 0.4203
Pu1 0.8344 0.8344 0.8344

Material: LaBiPdRh
Method: DFT, GGA-PBE
State: relaxed

* energy above the most stable polymorph in this dataset: 2.65 kJ/mol of atoms
* space-group type: Cm, No. 8
* DFT total energy: -5.88 eV/atom
* ΔE_f: -0.541 eV/atom

abc: 5.0740 5.0740 5.3169
angles: 105.73 105.73 46.68
Fractional positions:
La1 0.0000 0.0000 0.0000
Bi1 0.7776 0.7776 0.3907
Pd1 0.2209 0.2209 0.7025
Rh1 0.5059 0.5059 0.6012

Material: Sn3TeSe
Method: DFT, GGA-PBE
State: relaxed

* energy above the most stable polymorph in this dataset: 0.00 kJ/mol of atoms
* space-group type: C2/c, No. 15
* DFT total energy: -3.83 eV/atom

abc: 9.5772 9.5772 9.2657
angles: 102.55 102.55 118.61
Fractional positions:
Sn1 0.0582 0.5857 0.3725
Sn2 0.0706 0.9169 0.5810
Sn3 0.0831 0.9294 0.9190
Sn4 0.3239 0.3813 0.4966
Sn5 0.3813 0.3239 0.9966
Sn6 0.4143 0.9418 0.1275
Sn7 0.5857 0.0582 0.8725
Sn8 0.6187 0.6761 0.0034
Sn9 0.6761 0.6187 0.5034
Sn10 0.9169 0.0706 0.0810
Sn11 0.9294 0.0831 0.4190
Sn12 0.9418 0.4143 0.6275
Te1 0.1288 0.8712 0.2500
Te2 0.3399 0.6601 0.7500
Te3 0.6601 0.3399 0.2500
Te4 0.8712 0.1288 0.7500
Se1 0.1866 0.4140 0.2179
Se2 0.4140 0.1866 0.7179
Se3 0.5860 0.8134 0.2821
Se4 0.8134 0.5860 0.7821

Material: Ac2PdBr
Method: DFT, GGA-PBE
State: relaxed

* energy above the most stable polymorph in this dataset: 1.62 kJ/mol of atoms
* space-group type: P-3m1, No. 164
* DFT total energy: -4.84 eV/atom

abc: 4.3991 4.3991 8.3060
angles: 90.00 90.00 120.00
Fractional positions:
Ac1 0.3333 0.6667 0.2025
Ac2 0.6667 0.3333 0.7975
Pd1 0.0000 0.0000 0.0000
Br1 0.0000 0.0000 0.5000

Material: AlRhBr2
Method: DFT, GGA-PBE
State: relaxed

* energy above the most stable polymorph in this dataset: 69.38 kJ/mol of atoms
* space-group type: I-4m2, No. 119
* DFT total energy: -3.27 eV/atom

abc: 6.3991 6.3991 6.3991
angles: 145.12 145.12 50.16
Fractional positions:
Al1 0.0000 0.0000 0.0000
Rh1 0.7500 0.2500 0.5000
Br1 0.2500 0.7500 0.5000
Br2 0.5000 0.5000 0.0000

Material: KRePb
Method: DFT, GGA-PBE
State: relaxed

* energy above the most stable polymorph in this dataset: 51.54 kJ/mol of atoms
* space-group type: F-43m, No. 216
* DFT total energy: -4.16 eV/atom
* ΔE_f: 1.591 eV/atom

abc: 5.0369 5.0369 5.0369
angles: 60.00 60.00 60.00
Fractional positions:
K1 0.0000 0.0000 0.0000
Re1 0.2500 0.2500 0.2500
Pb1 0.5000 0.5000 0.5000

What did the fifth record say?
Material: LaZn2Re
Method: DFT, GGA-PBE
State: relaxed

* energy above the most stable polymorph in this dataset: 6.84 kJ/mol of atoms
* space-group type: P4/mmm, No. 123
* DFT total energy: -4.70 eV/atom
* ΔE_f: 0.281 eV/atom

abc: 3.0420 3.0420 8.0671
angles: 90.00 90.00 90.00
Fractional positions:
La1 0.0000 0.0000 0.0000
Zn1 0.5000 0.5000 0.2983
Zn2 0.5000 0.5000 0.7017
Re1 0.0000 0.0000 0.5000

- Which of these has the highest DFT total energy?
  RbCd3Pd

- Among the records above, which one has the highest DFT total energy?
  RbCd3Pd

- Look up the DFT total energy of the twelfth one.
  -4.16 eV/atom